[1]
The following is a PBEsol calculation of a relaxed structure of La2NiCl, from Alexandria via LeMat-Bulk.

Results
crystal system = tetragonal
polymorph energy (0 for the lowest one) = 1.7 meV per atom
mass density = 6398 kg/m³
formation energy (no corrections) = -21.666 kcal/mol of atoms
DOS at the Fermi energy = 1.287 states/eV per atom

```
4
Lattice="4.043 0.000 0.000 0.000 4.043 0.000 0.000 0.000 5.906" Properties=species:S:1:pos:R:3 pbc="T T T"
La 0.000 0.000 0.000
La 2.022 2.022 2.953
Ni 0.000 0.000 2.953
Cl 2.022 2.022 0.000
```

***

[2]
The following is a PBEsol calculation of a relaxed structure of TlAsRuBr2, from Alexandria via LeMat-Bulk.

Results
crystal system = tetragonal
mass density = 7057 kg/m³
formation energy (no corrections) = 0.437 kcal/mol of atoms
DOS at the Fermi energy = 0.776 states/eV per atom

```
5
Lattice="5.270 0.000 0.000 0.000 5.270 0.000 0.000 0.000 4.577" Properties=species:S:1:pos:R:3 pbc="T T T"
Tl 0.000 0.000 0.000
As 2.635 2.635 0.000
Ru 2.635 2.635 2.289
Br 0.000 2.635 2.289
Br 2.635 0.000 2.289
```

***

[3]
The following is a PBEsol calculation of a relaxed structure of LiPtCl2, from Alexandria via LeMat-Bulk.

Results
crystal system = tetragonal
polymorph energy (0 for the lowest one) = 0.0 meV per atom
mass density = 6713 kg/m³
formation energy (no corrections) = -13.967 kcal/mol of atoms
DOS at the Fermi energy = 0.206 states/eV per atom

```
4
Lattice="3.653 0.000 0.000 0.000 3.653 0.000 0.000 0.000 5.058" Properties=species:S:1:pos:R:3 pbc="T T T"
Li 0.000 0.000 0.000
Pt 1.827 1.827 2.529
Cl 0.000 0.000 2.529
Cl 1.827 1.827 0.000
```

***

[4]
The following is a PBEsol calculation of a relaxed structure of CdAg2Hg, from Alexandria via LeMat-Bulk.

Results
crystal system = cubic
polymorph energy (0 for the lowest one) = 13.4 meV per atom
mass density = 11990 kg/m³
energy of formation from the pure elements = -0.0206 eV per atom
DOS at the Fermi energy = 0.284 states/eV per atom

```
4
Lattice="0.000 3.321 3.321 3.321 0.000 3.321 3.321 3.321 0.000" Properties=species:S:1:pos:R:3 pbc="T T T"
Cd 0.000 0.000 0.000
Ag 1.660 1.660 1.660
Ag 4.981 4.981 4.981
Hg 3.321 3.321 3.321
```

***

[5]
The following is a PBEsol calculation of a relaxed structure of Ba2CoPt, from Alexandria via LeMat-Bulk.

Results
crystal system = cubic
mass density = 9070 kg/m³
energy of formation from the pure elements = 0.3598 eV per atom
DOS at the Fermi energy = 2.041 states/eV per atom

```
4
Lattice="0.000 3.644 3.644 3.644 0.000 3.644 3.644 3.644 0.000" Properties=species:S:1:pos:R:3 pbc="T T T"
Ba 0.000 0.000 0.000
Ba 1.822 1.822 1.822
Co 3.644 3.644 3.644
Pt 5.466 5.466 5.466
```

***

[6]
The following is a PBEsol calculation of a relaxed structure of TlP2Rh, from Alexandria via LeMat-Bulk.

Results
crystal system = tetragonal
polymorph energy (0 for the lowest one) = 677.7 meV per atom
mass density = 9305 kg/m³
energy of formation from the pure elements = 0.5003 eV per atom
DOS at the Fermi energy = 0.530 states/eV per atom

```
4
Lattice="-2.064 2.064 3.868 2.064 -2.064 3.868 2.064 2.064 -3.868" Properties=species:S:1:pos:R:3 pbc="T T T"
Tl 0.000 0.000 0.000
P 0.000 0.000 3.868
P 0.000 2.064 1.934
Rh 2.064 0.000 1.934
```

***

[7]
The following is a PBEsol calculation of a relaxed structure of TaAl2SiPt, from Alexandria via LeMat-Bulk.

Results
crystal system = tetragonal
mass density = 6474 kg/m³
formation energy (no corrections) = 27.111 kcal/mol of atoms
DOS at the Fermi energy = 0.658 states/eV per atom

```
5
Lattice="4.972 0.000 0.000 0.000 4.972 0.000 0.000 0.000 4.753" Properties=species:S:1:pos:R:3 pbc="T T T"
Ta 0.000 0.000 0.000
Al 0.000 2.486 0.000
Al 2.486 0.000 0.000
Si 2.486 2.486 2.377
Pt 0.000 0.000 2.377
```

***

[8]
The following is a PBEsol calculation of a relaxed structure of TaOsO3, from Alexandria via LeMat-Bulk.

Results
crystal system = cubic
mass density = 11997 kg/m³
formation energy (no corrections) = 0.576 kcal/mol of atoms
DOS at the Fermi energy = 0.930 states/eV per atom

```
5
Lattice="3.871 0.000 0.000 0.000 3.871 0.000 0.000 0.000 3.871" Properties=species:S:1:pos:R:3 pbc="T T T"
Ta 0.000 0.000 0.000
Os 1.936 1.936 1.936
O 0.000 1.936 1.936
O 1.936 0.000 1.936
O 1.936 1.936 0.000
```

***

[9]
The following is a PBEsol calculation of a relaxed structure of SmAs2Au, from Alexandria via LeMat-Bulk.

Results
crystal system = tetragonal
mass density = 10174 kg/m³
energy of formation from the pure elements = -0.8006 eV per atom
DOS at the Fermi energy = 0.322 states/eV per atom

```
8
Lattice="4.027 0.000 0.000 0.000 4.027 0.000 0.000 0.000 10.006" Properties=species:S:1:pos:R:3 pbc="T T T"
Sm 1.007 1.007 2.341
Sm 3.021 3.021 7.665
As 1.007 1.007 6.874
As 1.007 3.021 0.000
As 3.021 1.007 0.000
As 3.021 3.021 3.131
Au 1.007 3.021 5.003
Au 3.021 1.007 5.003
```

***

[10]
The following is a PBEsol calculation of a relaxed structure of Mg4Co, from Alexandria via LeMat-Bulk.

Results
crystal system = tetragonal
mass density = 2832 kg/m³
energy of formation from the pure elements = 0.0682 eV per atom
DOS at the Fermi energy = 0.354 states/eV per atom

```
5
Lattice="-3.847 3.847 1.547 3.847 -3.847 1.547 3.847 3.847 -1.547" Properties=species:S:1:pos:R:3 pbc="T T T"
Mg 2.029 0.578 0.000
Mg 3.269 -1.817 1.547
Mg 0.578 5.664 0.000
Mg 1.817 3.269 1.547
Co 0.000 0.000 1.547
```

***

[11]
The following is a PBEsol calculation of a relaxed structure of FeCuAg2, from Alexandria via LeMat-Bulk.

Results
crystal system = cubic
polymorph energy (0 for the lowest one) = 113.3 meV per atom
mass density = 9816 kg/m³
energy of formation from the pure elements = 0.3569 eV per atom
DOS at the Fermi energy = 0.581 states/eV per atom

```
4
Lattice="0.000 3.049 3.049 3.049 0.000 3.049 3.049 3.049 0.000" Properties=species:S:1:pos:R:3 pbc="T T T"
Fe 0.000 0.000 0.000
Cu 3.049 3.049 3.049
Ag 1.525 1.525 1.525
Ag 4.574 4.574 4.574
```

***

[12]
The following is a PBEsol calculation of a relaxed structure of Hf3NiH, from Alexandria via LeMat-Bulk.

Results
crystal system = cubic
mass density = 13145 kg/m³
DOS at the Fermi energy = 1.214 states/eV per atom

```
5
Lattice="4.221 0.000 0.000 0.000 4.221 0.000 0.000 0.000 4.221" Properties=species:S:1:pos:R:3 pbc="T T T"
Hf 0.000 0.000 2.110
Hf 0.000 2.110 0.000
Hf 2.110 0.000 0.000
Ni 2.110 2.110 2.110
H 0.000 0.000 0.000
```

***

[13]
The following is a PBEsol calculation of a relaxed structure of SrYBr2, from Alexandria via LeMat-Bulk.

Results
crystal system = cubic
polymorph energy (0 for the lowest one) = 679.7 meV per atom
mass density = 4452 kg/m³
formation energy (no corrections) = -8.192 kcal/mol of atoms
DOS at the Fermi energy = 1.463 states/eV per atom

```
4
Lattice="0.000 3.973 3.973 3.973 0.000 3.973 3.973 3.973 0.000" Properties=species:S:1:pos:R:3 pbc="T T T"
Sr 0.000 0.000 0.000
Y 5.960 5.960 5.960
Br 1.987 1.987 1.987
Br 3.973 3.973 3.973
```

***

no.,DFT total energy (eV/atom)
1,-5.654
2,-4.311
3,-3.842
4,-2.117
5,-4.390
6,-5.088
7,-5.513
8,-8.078
9,-5.608
10,-2.853
11,-4.623
12,-8.293
13,-3.456